(1)
Material: Mn2VCrTe6
Method: DFT, PBE
State: optimized geometry

```
Mn2VCrTe6
1.0
-5.2592 -1.1373 4.5030
-3.5980 -6.0182 -0.2560
0.8981 -4.8513 5.2891
Mn V Cr Te
2 1 1 6
direct
0.5065 0.5065 0.4805
0.0056 0.0056 0.9831
0.3271 0.3271 0.0187
0.8249 0.8249 0.5252
0.5949 0.2381 0.2515
0.2382 0.9155 0.2515
0.9155 0.5949 0.2514
0.4140 0.7398 0.7511
0.7398 0.0951 0.7511
0.0951 0.4140 0.7511
```

Properties
N(E_F)   3.55 states/eV/cell
Raw formation energy   -0.21 eV/atom
Space-group type   R3, No. 146

=====

(2)
Material: TaTi2RhN
Method: DFT, PBE
State: optimized geometry

```
TaTi2RhN
1.0
4.0786 0.0000 0.0000
0.0000 4.0786 0.0000
0.0000 0.0000 4.2447
N Ti Rh Ta
1 2 1 1
direct
0.0000 0.0000 0.0000
0.0000 0.5000 0.0000
0.5000 0.0000 0.0000
0.5000 0.5000 0.5000
0.0000 0.0000 0.5000
```

Properties
N(E_F)   3.66 states/eV/cell
Raw formation energy   -0.89 eV/atom
Space-group type   P4/mmm, No. 123

=====

(3)
Material: Sn2OsRhN
Method: DFT, PBE
State: optimized geometry

```
Sn2OsRhN
1.0
-3.5861 -2.8407 0.3817
0.6291 -0.2758 3.8579
-2.7698 3.5918 0.7084
Rh Os Sn N
1 1 2 1
direct
0.0000 0.5000 0.0000
0.5000 0.5000 0.5000
0.0000 0.0000 0.5000
0.5000 0.0000 0.0000
0.0000 0.0000 0.0000
```

Properties
N(E_F)   5.51 states/eV/cell
Raw formation energy   0.77 eV/atom
Space-group type   P4/mmm, No. 123

=====

(4)
Material: NbGaGe2Ir
Method: DFT, PBE
State: optimized geometry

```
NbGaGe2Ir
1.0
4.5730 0.0000 0.0000
0.0000 4.8836 0.0000
0.0000 0.0000 4.5730
Nb Ir Ge Ga
1 1 2 1
direct
0.0000 0.5000 0.0000
0.5000 0.5000 0.5000
0.0000 0.0000 0.5000
0.5000 0.0000 0.0000
0.0000 0.0000 0.0000
```

Properties
N(E_F)   6.49 states/eV/cell
Formation energy from the elements   6.45 eV/f.u.
Space-group type   P4/mmm, No. 123

=====

(5)
Material: Ba3Ni5Te12
Method: DFT, PBE
State: optimized geometry

```
Ba3Ni5Te12
1.0
-1.1989 -12.2303 -8.1409
13.5384 0.7455 5.7833
-9.9687 -0.3254 10.8541
Ba Ni Te
12 20 48
direct
0.7500 0.3750 0.1250
0.8750 0.7500 0.1250
0.3750 0.7500 0.6250
0.2500 0.1250 0.3750
0.8750 0.1250 0.2500
0.3750 0.6250 0.2500
0.6250 0.3750 0.7500
0.1250 0.8750 0.7500
0.7500 0.8750 0.6250
0.6250 0.2500 0.3750
0.1250 0.2500 0.8750
0.2500 0.6250 0.8750
0.1250 0.3750 0.2500
0.0000 0.5000 0.0000
0.0000 0.0000 0.0000
0.3750 0.2500 0.1250
0.5000 0.0000 0.5000
0.5000 0.5000 0.0000
0.1250 0.7500 0.3750
0.7500 0.1250 0.8750
0.7500 0.6250 0.3750
0.3750 0.1250 0.7500
0.6250 0.8750 0.2500
0.5000 0.5000 0.5000
0.5000 0.0000 0.0000
0.0000 0.0000 0.5000
0.2500 0.3750 0.6250
0.2500 0.8750 0.1250
0.0000 0.5000 0.5000
0.8750 0.2500 0.6250
0.6250 0.7500 0.8750
0.8750 0.6250 0.7500
0.6898 0.0964 0.0067
0.3169 0.5067 0.4103
0.9933 0.4036 0.3102
0.5067 0.1898 0.0964
0.5934 0.6898 0.6831
0.9933 0.5897 0.1831
0.3169 0.8102 0.4066
0.0897 0.9066 0.0964
0.5897 0.9933 0.6831
0.6898 0.5934 0.1831
0.8102 0.4933 0.4036
0.8169 0.9103 0.0067
0.0964 0.6898 0.5067
0.4036 0.4103 0.0934
0.0934 0.9103 0.4036
0.4066 0.0964 0.5897
0.0934 0.1831 0.1898
0.4933 0.6831 0.0897
0.8169 0.9066 0.3102
0.0964 0.4066 0.0897
0.4036 0.9933 0.8102
0.5897 0.5964 0.4066
0.9103 0.8169 0.5067
0.8102 0.3169 0.9066
0.4103 0.4036 0.5934
0.0897 0.1831 0.4933
0.1898 0.6831 0.0934
0.1831 0.0934 0.6898
0.5964 0.0067 0.1898
0.9036 0.5934 0.9103
0.5067 0.3169 0.9103
0.5934 0.9036 0.4103
0.9066 0.8169 0.8102
0.9066 0.0897 0.5964
0.9036 0.3102 0.4933
0.1831 0.0897 0.9933
0.5964 0.5897 0.9066
0.4103 0.0067 0.3169
0.3102 0.4066 0.8169
0.1898 0.5067 0.5964
0.9103 0.0934 0.9036
0.6831 0.1898 0.5934
0.4933 0.8102 0.9036
0.0067 0.4103 0.8169
0.4066 0.3102 0.3169
0.0067 0.5964 0.6898
0.6831 0.4933 0.5897
0.3102 0.9036 0.9933
```

Properties
N(E_F)   71.04 states/eV/cell
Raw formation energy   -0.41 eV/atom
Space-group type   Ia-3d, No. 230

=====

(6)
Material: Ti6Ge2O
Method: DFT, PBE
State: optimized geometry

```
Ti6Ge2O
1.0
-1.0301 -4.1959 3.2456
1.9046 -3.3783 -3.7630
9.9399 0.8565 4.2621
Ti Ge O
12 4 2
direct
0.3121 0.3121 0.3661
0.6879 0.6879 0.3661
0.1879 0.8121 0.8661
0.8121 0.1879 0.8661
0.1879 0.8121 0.1339
0.8121 0.1879 0.1339
0.3121 0.3121 0.6339
0.6879 0.6879 0.6339
0.2825 0.2825 0.0000
0.7175 0.7175 0.0000
0.2175 0.7825 0.5000
0.7825 0.2175 0.5000
0.0000 0.0000 0.3231
0.5000 0.5000 0.8231
0.5000 0.5000 0.1769
0.0000 0.0000 0.6769
0.0000 0.0000 0.0000
0.5000 0.5000 0.5000
```

Properties
N(E_F)   18.35 states/eV/cell
Raw formation energy   -0.52 eV/atom
Space-group type   P4_2/mnm, No. 136

=====

(7)
Material: LuPuMnIr
Method: DFT, PBE
State: optimized geometry

```
LuPuMnIr
1.0
-0.0570 4.2466 2.2043
-4.1607 1.9383 1.3517
-1.1167 0.2697 4.6450
Ir Lu Mn Pu
1 1 1 1
direct
0.0000 0.0000 0.0000
0.7500 0.7500 0.7500
0.5000 0.5000 0.5000
0.2500 0.2500 0.2500
```

Properties
N(E_F)   5.19 states/eV/cell
Formation energy from the elements   -1.40 eV/f.u.
Space-group type   F-43m, No. 216

=====

(8)
Material: MnSbPb2
Method: DFT, PBE
State: optimized geometry

```
MnSbPb2
1.0
10.5128 -0.0668 -0.0392
9.9780 3.3109 -0.0392
9.9780 1.5797 2.9100
Mn Pb Sb
1 2 1
direct
0.7500 0.7500 0.7500
0.0101 0.0101 0.0101
0.4899 0.4899 0.4899
0.2500 0.2500 0.2500
```

Properties
N(E_F)   3.09 states/eV/cell
Raw formation energy   0.38 eV/atom
Space-group type   R-3m, No. 166

=====

(9)
Material: Pm2Be4Ir5
Method: DFT, PBE
State: optimized geometry

```
Pm2Be4Ir5
1.0
-4.6428 2.3362 2.3661
-2.7857 -2.6403 4.0323
1.2578 3.9391 5.4701
Pm Be Ir
2 4 5
direct
0.8646 0.0000 0.2709
0.1354 0.0000 0.7291
0.4694 0.3223 0.7388
0.5306 0.6777 0.2612
0.2082 0.3223 0.2612
0.7918 0.6777 0.7388
0.5000 0.0000 0.0000
0.0000 0.5000 0.0000
0.5000 0.5000 0.0000
0.2500 0.5000 0.5000
0.7500 0.5000 0.5000
```

Properties
N(E_F)   5.56 states/eV/cell
Formation energy from the elements   -6.98 eV/f.u.
Space-group type   Fmmm, No. 69

=====

(10)
Material: NaAlO
Method: DFT, PBE
State: optimized geometry

```
NaAlO
1.0
-1.0587 -2.0671 4.1289
0.9406 -5.0271 0.2592
5.1883 -1.5324 1.8912
Na Al O
2 2 2
direct
0.0122 0.4109 0.8082
0.0234 0.7316 0.1587
0.3485 0.9611 0.4657
0.7360 0.2102 0.4730
0.0426 0.9252 0.7162
0.6295 0.5866 0.4789
```

Properties
E above lowest polymorph   0.14 eV per formula unit
Raw formation energy   -1.42 eV/atom
Space-group type   P1, No. 1

=====

(11)
Material: KLi2Os
Method: DFT, PBE
State: optimized geometry

```
KLi2Os
1.0
11.2369 0.0006 0.0004
10.8798 2.8104 0.0004
10.8798 1.3828 2.4467
K Li Os
1 2 1
direct
0.7500 0.7500 0.7500
0.9820 0.9820 0.9820
0.5180 0.5180 0.5180
0.2500 0.2500 0.2500
```

Properties
N(E_F)   2.99 states/eV/cell
Formation energy from the elements   2.66 eV/f.u.
E above lowest polymorph   0.38 eV per formula unit
Space-group type   R-3m, No. 166

=====

(12)
Material: YReSi3
Method: DFT, PBE
State: optimized geometry

```
YReSi3
1.0
4.6947 0.0000 0.0000
0.0000 4.6947 0.0000
0.0000 0.0000 4.6947
Y Re Si
1 1 3
direct
0.5000 0.5000 0.5000
0.0000 0.0000 0.0000
0.0000 0.5000 0.0000
0.0000 0.0000 0.5000
0.5000 0.0000 0.0000
```

Properties
N(E_F)   5.25 states/eV/cell
E above lowest polymorph   0.00 eV per formula unit
Raw formation energy   0.22 eV/atom
Space-group type   Pm-3m, No. 221